#a
## NiAuIO2 (GGA-PBEsol)

Data for an optimized crystal structure of NiAuIO2.

Cell: 3.7366 3.7366 6.0401 Å, 90.00 90.00 90.00°
Last column: nearest neighbours and their distance in Å.
Space group P4/mmm (No. 123)
Inequivalent atoms, fractional coordinates:
Ni: 0.0000 0.0000 0.0000 x1  4 O 1.87
Au: 0.5000 0.5000 0.5000 x1  4 I 2.64
I: 0.0000 0.0000 0.5000 x1  4 Au 2.64
O: 0.0000 0.5000 0.0000 x2  2 Ni 1.87


#b
## NiAuIO2 (GGA-PBEsol)

Data for an optimized crystal structure of NiAuIO2.

Cell: 3.7369 3.7369 5.7899 Å, 90.00 90.00 90.00°
Last column: nearest neighbours and their distance in Å.
Space group P4/mmm (No. 123)
Inequivalent atoms, fractional coordinates:
Ni: 0.0000 0.0000 0.0000 x1  4 O 1.87
Au: 0.0000 0.0000 0.5000 x1  4 I 2.64, 2 Ni 2.89
I: 0.5000 0.5000 0.5000 x1  4 Au 2.64
O: 0.0000 0.5000 0.0000 x2  2 Ni 1.87


Least stable of them? #a.


#a
## P10Au7I (GGA-PBEsol)

Data for an optimized crystal structure of P10Au7I.

Cell: 6.1630 6.1630 11.0945 Å, 90.00 90.00 120.00°
Last column: nearest neighbours and their distance in Å.
Space group P-31m (No. 162)
Inequivalent atoms, fractional coordinates:
P: 0.0000 0.3745 0.3014 x6  2 P 2.20, 2 Au 2.33
P: 0.3333 0.6667 0.2071 x4  3 P 2.20, 1 Au 2.30
Au: 0.0000 0.0000 0.2730 x2  3 P 2.33
Au: 0.0000 0.5000 0.5000 x3  2 P 2.33
Au: 0.3333 0.6667 0.0000 x2  2 P 2.30
I: 0.0000 0.0000 0.0000 x1  2 Au 3.03


#b
## P10Au7I (GGA-PBEsol)

Data for an optimized crystal structure of P10Au7I.

Cell: 6.1478 6.1478 11.2314 Å, 90.00 90.00 120.00°
Last column: nearest neighbours and their distance in Å.
Space group P-62m (No. 189)
Inequivalent atoms, fractional coordinates:
P: 0.0000 0.3754 0.2024 x6  2 P 2.20, 2 Au 2.33
P: 0.3333 0.6667 0.2951 x4  3 P 2.20, 1 Au 2.30
Au: 0.0000 0.0000 0.2321 x2  3 P 2.33
Au: 0.0000 0.4571 0.0000 x3  2 P 2.33
Au: 0.3333 0.6667 0.5000 x2  2 P 2.30
I: 0.0000 0.0000 0.5000 x1  2 Au 3.01


Least stable of them? #b.


#a
## InIrAu (GGA-PBEsol)

Data for an optimized crystal structure of InIrAu.

Cell: 6.2033 6.2033 6.2033 Å, 90.00 90.00 90.00°
Last column: nearest neighbours and their distance in Å.
Space group F-43m (No. 216)
Inequivalent atoms, fractional coordinates:
In: 0.0000 0.0000 0.0000 x4  4 Ir 2.69
Ir: 0.2500 0.2500 0.7500 x4  4 Au 2.69, 4 In 2.69
Au: 0.0000 0.0000 0.5000 x4  4 Ir 2.69


#b
## InIrAu (GGA-PBEsol)

Data for an optimized crystal structure of InIrAu.

Cell: 2.9853 2.9853 6.6133 Å, 90.00 90.00 120.00°
Last column: nearest neighbours and their distance in Å.
Space group P3m1 (No. 156)
Inequivalent atoms, fractional coordinates:
In: 0.0000 0.0000 0.0000 x1  3 Ir 2.72, 3 Au 2.86, 6 In 2.99
Ir: 0.3333 0.6667 0.6813 x1  3 In 2.72, 3 Au 2.82, 6 Ir 2.99
Au: 0.6667 0.3333 0.3446 x1  3 Ir 2.82, 3 In 2.86, 6 Au 2.99


Least stable of them? #b.


#a
## In2MoAu (GGA-PBEsol)

Data for an optimized crystal structure of In2MoAu.

Cell: 10.6910 2.9847 5.0378 Å, 90.00 113.22 90.00°
Last column: nearest neighbours and their distance in Å.
Space group Cm (No. 8)
Inequivalent atoms, fractional coordinates:
In: 0.0000 0.0000 0.0000 x2  4 Mo 2.85-3.02, 3 Au 2.85-2.99, 3 In 2.98-3.00
In: 0.2258 0.0000 0.5905 x2  4 Au 2.90-2.99, 3 Mo 2.91, 5 In 2.98-3.21
Mo: 0.4795 0.0000 0.5033 x2  7 In 2.85-3.02, 2 Au 2.85, 2 Mo 2.98
Au: 0.2573 0.5000 0.1066 x2  7 In 2.85-2.99, 2 Mo 2.85, 2 Au 2.98


#b
## In2MoAu (GGA-PBEsol)

Data for an optimized crystal structure of In2MoAu.

Cell: 9.4399 2.9360 5.4344 Å, 90.00 101.87 90.00°
Last column: nearest neighbours and their distance in Å.
Space group C2/m (No. 12)
Inequivalent atoms, fractional coordinates:
In: 0.2493 0.0000 0.2555 x4  3 Mo 2.87-2.93, 3 Au 2.88-2.98, 6 In 2.94-3.14
Mo: 0.0000 0.0000 0.5000 x2  6 In 2.87-2.93, 2 Mo 2.94, 4 Au 3.09
Au: 0.0000 0.5000 0.0000 x2  6 In 2.88-2.98, 2 Au 2.94, 4 Mo 3.09


#c
## In2MoAu (GGA-PBEsol)

Data for an optimized crystal structure of In2MoAu.

Cell: 6.0785 8.0151 2.9945 Å, 90.00 90.00 90.00°
Last column: nearest neighbours and their distance in Å.
Space group Cmmm (No. 65)
Inequivalent atoms, fractional coordinates:
In: 0.2500 0.2500 0.0000 x4  4 Mo 2.93, 4 Au 2.93, 4 In 2.99-3.04
Mo: 0.0000 0.0000 0.5000 x2  8 In 2.93, 2 Mo 2.99, 2 Au 3.04
Au: 0.0000 0.5000 0.5000 x2  8 In 2.93, 2 Au 2.99, 2 Mo 3.04


Least stable of them? #b.